Record 1
Entry from Alexandria: a geometry-optimized Ho5Ag4Ru structure (GGA-PBE).

Results
The magnetic moment is 0.0 Bohr magnetons per cell. The calculated total energy comes out at -4.714 eV per atom. The formation energy comes out at -357 meV per atom. The calculated volume is 22.76 Å³/atom.

a b c (Å): 3.5223 3.5223 18.3435
angles (deg): 90.00 90.00 90.00
Closest atoms and distances in Å follow each position.
Space group P4/mmm (No. 123)
Symmetry-distinct sites (fractional):
Ho1 0.0000 0.0000 0.0000 [1 per cell]  8 Ag 3.11
Ho2 0.0000 0.0000 0.2041 [2 per cell]  8 Ag 3.11-3.12
Ho3 0.0000 0.0000 0.4108 [2 per cell]  4 Ru 2.98, 4 Ag 3.15, 1 Ho 3.27
Ag1 0.5000 0.5000 0.1014 [2 per cell]  8 Ho 3.11-3.12
Ag2 0.5000 0.5000 0.3053 [2 per cell]  8 Ho 3.11-3.15
Ru1 0.5000 0.5000 0.5000 [1 per cell]  8 Ho 2.98

***

Record 2
Entry from Alexandria: a geometry-optimized Ho4Ag3Ru structure (GGA-PBE).

Results
The magnetic moment is 0.0 Bohr magnetons per cell. The calculated total energy comes out at -4.883 eV per atom. The formation energy comes out at -366 meV per atom. The calculated volume is 22.56 Å³/atom.

a b c (Å): 3.5014 3.5014 14.7207
angles (deg): 90.00 90.00 90.00
Closest atoms and distances in Å follow each position.
Space group P4/mmm (No. 123)
Symmetry-distinct sites (fractional):
Ho1 0.0000 0.0000 0.1114 [2 per cell]  4 Ru 2.97, 4 Ag 3.16, 1 Ho 3.28
Ho2 0.0000 0.0000 0.3718 [2 per cell]  8 Ag 3.10-3.11
Ag1 0.5000 0.5000 0.2447 [2 per cell]  8 Ho 3.10-3.16
Ag2 0.5000 0.5000 0.5000 [1 per cell]  8 Ho 3.11
Ru1 0.5000 0.5000 0.0000 [1 per cell]  8 Ho 2.97